Entry 1:
Here is a relaxed CeMnSi2Pt5 crystal from Alexandria via LeMat-Bulk. Energies are from PBE-GGA.

a = 4.0777 Å, b = 4.0777 Å, c = 10.4599 Å
α = 90.00°, β = 90.00°, γ = 90.00°
With the nearest neighbours (Å) after each atom.
Atoms (fractional coordinates):
Ce (0.0000, 0.0000, 0.0000)  4 Pt 2.88
Mn (0.0000, 0.0000, 0.5000)  8 Pt 2.63
Si (0.5000, 0.5000, 0.2252)  5 Pt 2.36-2.37
Si (0.5000, 0.5000, 0.7748)  5 Pt 2.36-2.37
Pt (0.0000, 0.5000, 0.3405)  2 Si 2.37, 2 Mn 2.63
Pt (0.0000, 0.5000, 0.6595)  2 Si 2.37, 2 Mn 2.63
Pt (0.5000, 0.0000, 0.3405)  2 Si 2.37, 2 Mn 2.63
Pt (0.5000, 0.0000, 0.6595)  2 Si 2.37, 2 Mn 2.63
Pt (0.5000, 0.5000, 0.0000)  2 Si 2.36

Calculated values
- N(E_F): 9.13 states/eV/cell
- Crystal system: tetragonal
- Raw formation energy: -653 meV/atom
- SG: P4/mmm

Entry 2:
Here is a relaxed Ce2MnSi3Pt4 crystal from Alexandria via LeMat-Bulk. Energies are from PBE-GGA.

a = 4.2069 Å, b = 4.2069 Å, c = 10.1715 Å
α = 90.00°, β = 90.00°, γ = 90.00°
With the nearest neighbours (Å) after each atom.
Atoms (fractional coordinates):
Ce (0.0000, 0.5000, 0.2468)  8 Pt 3.18-3.32, 6 Si 3.23-3.28, 2 Mn 3.28
Ce (0.5000, 0.0000, 0.7532)  8 Pt 3.18-3.32, 6 Si 3.23-3.28, 2 Mn 3.28
Mn (0.5000, 0.5000, 0.0000)  4 Pt 2.52
Si (0.0000, 0.0000, 0.0000)  4 Pt 2.52
Si (0.0000, 0.5000, 0.6300)  5 Pt 2.38-2.48
Si (0.5000, 0.0000, 0.3700)  5 Pt 2.38-2.48
Pt (0.0000, 0.0000, 0.5000)  4 Si 2.48
Pt (0.0000, 0.5000, 0.8642)  3 Si 2.38-2.52, 2 Mn 2.52
Pt (0.5000, 0.0000, 0.1358)  3 Si 2.38-2.52, 2 Mn 2.52
Pt (0.5000, 0.5000, 0.5000)  4 Si 2.48

Calculated values
- N(E_F): 10.85 states/eV/cell
- Crystal system: tetragonal
- Raw formation energy: -969 meV/atom
- SG: P-4m2